{
  "formula": "La2Tl4S5",
  "functional": "PBE-GGA",
  "state": "optimized geometry",
  "dos_ef_per_ev_cell": 2.564,
  "rho_g_cm3": 5.3,
  "total_energy_ha_per_atom": -0.1708,
  "m_tot_mub_per_fu": 0.000,
  "sg": "R-3m",
  "lattice": [[2.163, 1.249, 24.121], [-2.163, 1.249, 24.121], [0.000, -2.498, 24.121]],
  "species": ["La", "La", "Tl", "Tl", "Tl", "Tl", "S", "S", "S", "S", "S"],
  "fractional_positions": [[0.141, 0.141, 0.141], [0.859, 0.859, 0.859], [0.312, 0.312, 0.312], [0.410, 0.410, 0.410], [0.590, 0.590, 0.590], [0.688, 0.688, 0.688], [0.209, 0.209, 0.209], [0.375, 0.375, 0.375], [0.500, 0.500, 0.500], [0.625, 0.625, 0.625], [0.791, 0.791, 0.791]]
}

{
  "formula": "La2TlS2",
  "functional": "PBE-GGA",
  "state": "optimized geometry",
  "dos_ef_per_ev_cell": 10.534,
  "rho_g_cm3": 7.2,
  "total_energy_ha_per_atom": -0.2016,
  "m_tot_mub_per_fu": 0.000,
  "sg": "P4/mbm",
  "lattice": [[8.231, 0.000, 0.000], [0.000, 8.231, 0.000], [0.000, 0.000, 3.733]],
  "species": ["La", "La", "La", "La", "Tl", "Tl", "S", "S", "S", "S"],
  "fractional_positions": [[0.160, 0.340, 0.000], [0.340, 0.840, 0.000], [0.660, 0.160, 0.000], [0.840, 0.660, 0.000], [0.000, 0.000, 0.500], [0.500, 0.500, 0.500], [0.138, 0.638, 0.500], [0.362, 0.138, 0.500], [0.638, 0.862, 0.500], [0.862, 0.362, 0.500]]
}

{
  "formula": "La2TlS",
  "functional": "PBE-GGA",
  "state": "optimized geometry",
  "dos_ef_per_ev_cell": 4.847,
  "rho_g_cm3": 7.0,
  "total_energy_ha_per_atom": -0.1935,
  "m_tot_mub_per_fu": 0.000,
  "sg": "R3m",
  "de_polymorph_kj_per_mol_atoms": 4.38,
  "lattice": [[2.033, 1.174, 8.495], [-2.033, 1.174, 8.495], [0.000, -2.348, 8.495]],
  "species": ["La", "La", "Tl", "S"],
  "fractional_positions": [[0.000, 0.000, 0.000], [0.200, 0.200, 0.200], [0.767, 0.767, 0.767], [0.599, 0.599, 0.599]]
}

{
  "formula": "LaTl3S3",
  "functional": "PBE-GGA",
  "state": "optimized geometry",
  "dos_ef_per_ev_cell": 0.000,
  "rho_g_cm3": 6.1,
  "total_energy_ha_per_atom": -0.1660,
  "m_tot_mub_per_fu": 0.000,
  "sg": "P2_1/m",
  "lattice": [[8.859, 0.000, 0.000], [0.000, 4.263, 0.000], [-0.830, 0.000, 12.241]],
  "species": ["La", "La", "Tl", "Tl", "Tl", "Tl", "Tl", "Tl", "S", "S", "S", "S", "S", "S"],
  "fractional_positions": [[0.117, 0.250, 0.380], [0.883, 0.750, 0.620], [0.135, 0.250, 0.876], [0.332, 0.750, 0.146], [0.382, 0.750, 0.630], [0.618, 0.250, 0.370], [0.668, 0.250, 0.854], [0.865, 0.750, 0.124], [0.099, 0.250, 0.146], [0.105, 0.250, 0.616], [0.338, 0.750, 0.387], [0.662, 0.250, 0.613], [0.895, 0.750, 0.384], [0.901, 0.750, 0.854]]
}

{
  "formula": "La2TlS",
  "functional": "PBE-GGA",
  "state": "optimized geometry",
  "dos_ef_per_ev_cell": 9.352,
  "rho_g_cm3": 7.6,
  "total_energy_ha_per_atom": -0.1781,
  "m_tot_mub_per_fu": 0.001,
  "sg": "Fm-3m",
  "de_polymorph_kj_per_mol_atoms": 44.88,
  "lattice": [[0.000, 3.828, 3.828], [3.828, 0.000, 3.828], [3.828, 3.828, 0.000]],
  "species": ["La", "La", "Tl", "S"],
  "fractional_positions": [[0.250, 0.250, 0.250], [0.750, 0.750, 0.750], [0.000, 0.000, 0.000], [0.500, 0.500, 0.500]]
}

{
  "formula": "LaTm2Tl3S6",
  "functional": "PBE-GGA",
  "state": "optimized geometry",
  "dos_ef_per_ev_cell": 0.000,
  "rho_g_cm3": 6.6,
  "total_energy_ha_per_atom": -0.1950,
  "m_tot_mub_per_fu": 0.000,
  "sg": "C2/m",
  "lattice": [[3.535, -6.116, 0.000], [3.535, 6.116, 0.000], [-2.350, 0.000, 7.498]],
  "species": ["La", "Tm", "Tm", "Tl", "Tl", "Tl", "S", "S", "S", "S", "S", "S"],
  "fractional_positions": [[0.000, 0.000, 0.000], [0.333, 0.667, 0.000], [0.667, 0.333, 0.000], [0.165, 0.835, 0.500], [0.500, 0.500, 0.500], [0.835, 0.165, 0.500], [0.066, 0.416, 0.199], [0.284, 0.284, 0.804], [0.416, 0.066, 0.199], [0.584, 0.934, 0.801], [0.716, 0.716, 0.196], [0.934, 0.584, 0.801]]
}